No. 1
Material: Er5Zr3H12
Method: DFT, PBE
State: optimized geometry

abc: 10.805 10.805 10.805
angles: 109.47 109.47 109.47
Sites, in units of the cell vectors:
Er: 0.000 0.000 0.000
Er: 0.000 0.000 0.500
Er: 0.000 0.500 0.000
Er: 0.000 0.500 0.500
Er: 0.125 0.750 0.875
Er: 0.125 0.875 0.250
Er: 0.250 0.125 0.875
Er: 0.250 0.625 0.375
Er: 0.375 0.250 0.625
Er: 0.375 0.625 0.750
Er: 0.500 0.000 0.000
Er: 0.500 0.000 0.500
Er: 0.500 0.500 0.000
Er: 0.500 0.500 0.500
Er: 0.625 0.375 0.250
Er: 0.625 0.750 0.375
Er: 0.750 0.375 0.625
Er: 0.750 0.875 0.125
Er: 0.875 0.125 0.750
Er: 0.875 0.250 0.125
Zr: 0.125 0.250 0.375
Zr: 0.125 0.375 0.750
Zr: 0.250 0.375 0.125
Zr: 0.250 0.875 0.625
Zr: 0.375 0.125 0.250
Zr: 0.375 0.750 0.125
Zr: 0.625 0.250 0.875
Zr: 0.625 0.875 0.750
Zr: 0.750 0.125 0.375
Zr: 0.750 0.625 0.875
Zr: 0.875 0.625 0.250
Zr: 0.875 0.750 0.625
H: 0.070 0.730 0.655
H: 0.070 0.840 0.415
H: 0.075 0.230 0.160
H: 0.075 0.345 0.915
H: 0.085 0.660 0.430
H: 0.085 0.925 0.655
H: 0.155 0.230 0.570
H: 0.155 0.425 0.585
H: 0.160 0.075 0.230
H: 0.160 0.585 0.930
H: 0.230 0.160 0.075
H: 0.230 0.570 0.155
H: 0.270 0.345 0.930
H: 0.270 0.425 0.340
H: 0.340 0.270 0.425
H: 0.340 0.570 0.915
H: 0.345 0.915 0.075
H: 0.345 0.930 0.270
H: 0.415 0.070 0.840
H: 0.415 0.845 0.575
H: 0.425 0.340 0.270
H: 0.425 0.585 0.155
H: 0.430 0.085 0.660
H: 0.430 0.845 0.770
H: 0.570 0.155 0.230
H: 0.570 0.915 0.340
H: 0.575 0.415 0.845
H: 0.575 0.660 0.730
H: 0.585 0.155 0.425
H: 0.585 0.930 0.160
H: 0.655 0.070 0.730
H: 0.655 0.085 0.925
H: 0.660 0.430 0.085
H: 0.660 0.730 0.575
H: 0.730 0.575 0.660
H: 0.730 0.655 0.070
H: 0.770 0.430 0.845
H: 0.770 0.840 0.925
H: 0.840 0.415 0.070
H: 0.840 0.925 0.770
H: 0.845 0.575 0.415
H: 0.845 0.770 0.430
H: 0.915 0.075 0.345
H: 0.915 0.340 0.570
H: 0.925 0.655 0.085
H: 0.925 0.770 0.840
H: 0.930 0.160 0.585
H: 0.930 0.270 0.345

Properties
Total magnetic moment, μB/f.u.: 0.0
Energy, eV/atom: -4.86

=====

No. 2
Material: NaCa3Pt
Method: DFT, PBE
State: optimized geometry

abc: 5.598 5.598 5.598
angles: 90.00 90.00 90.00
Sites, in units of the cell vectors:
Na: 0.000 0.000 0.000
Ca: 0.000 0.000 0.500
Ca: 0.000 0.500 0.000
Ca: 0.500 0.000 0.000
Pt: 0.500 0.500 0.500

Properties
Total magnetic moment, μB/f.u.: 0.0
Energy, eV/atom: -2.00
Distance to the lowest polymorph of the same formula, eV/atom: 1.146
E_form, eV per atom: 0.677

=====

No. 3
Material: SrOsRu
Method: DFT, PBE
State: optimized geometry

abc: 5.838 4.110 11.777
angles: 90.00 90.00 90.00
Sites, in units of the cell vectors:
Sr: 0.112 0.250 0.135
Sr: 0.388 0.750 0.635
Sr: 0.612 0.250 0.365
Sr: 0.888 0.750 0.865
Os: 0.103 0.250 0.449
Os: 0.397 0.750 0.949
Os: 0.603 0.250 0.051
Os: 0.897 0.750 0.551
Ru: 0.120 0.750 0.344
Ru: 0.380 0.250 0.844
Ru: 0.620 0.750 0.156
Ru: 0.880 0.250 0.656

Properties
Total magnetic moment, μB/f.u.: 0.0
Energy, eV/atom: -6.85
Distance to the lowest polymorph of the same formula, eV/atom: 0.288
E_form, eV per atom: 0.544

=====

No. 4
Material: CeNdSn6
Method: DFT, PBE
State: optimized geometry

abc: 4.744 4.744 9.500
angles: 90.00 90.00 90.00
Sites, in units of the cell vectors:
Ce: 0.000 0.000 0.000
Nd: 0.000 0.000 0.500
Sn: 0.000 0.500 0.247
Sn: 0.000 0.500 0.753
Sn: 0.500 0.000 0.247
Sn: 0.500 0.000 0.753
Sn: 0.500 0.500 0.000
Sn: 0.500 0.500 0.500

Properties
Total magnetic moment, μB/f.u.: 0.4
Energy, eV/atom: -4.86
E_form, eV per atom: -0.515

=====

No. 5
Material: LaTePI2
Method: DFT, PBE
State: optimized geometry

abc: 6.256 6.256 6.378
angles: 90.00 90.00 90.00
Sites, in units of the cell vectors:
La: 0.000 0.000 0.000
Te: 0.000 0.000 0.500
P: 0.500 0.500 0.500
I: 0.000 0.500 0.000
I: 0.500 0.000 0.000

Properties
Total magnetic moment, μB/f.u.: 2.0
Energy, eV/atom: -3.45
Raw formation energy, meV per atom: -129.4
Distance to the lowest polymorph of the same formula, eV/atom: 0.109

=====

No. 6
Material: ZrSb2Pd
Method: DFT, PBE
State: optimized geometry

abc: 5.555 5.631 11.107
angles: 90.00 93.66 90.00
Sites, in units of the cell vectors:
Zr: 0.117 0.250 0.329
Zr: 0.117 0.250 0.829
Zr: 0.883 0.750 0.171
Zr: 0.883 0.750 0.671
Sb: 0.112 0.739 0.423
Sb: 0.112 0.761 0.923
Sb: 0.411 0.535 0.168
Sb: 0.411 0.965 0.668
Sb: 0.589 0.035 0.332
Sb: 0.589 0.465 0.832
Sb: 0.888 0.239 0.077
Sb: 0.888 0.261 0.577
Pd: 0.353 0.032 0.104
Pd: 0.353 0.468 0.604
Pd: 0.647 0.532 0.396
Pd: 0.647 0.968 0.896

Properties
Total magnetic moment, μB/f.u.: 0.0
Energy, eV/atom: -6.02
Raw formation energy, meV per atom: -527.4

=====

No. 7
Material: CdTcRu2
Method: DFT, PBE
State: optimized geometry

abc: 2.744 2.744 9.308
angles: 90.00 90.00 116.34
Sites, in units of the cell vectors:
Cd: 0.000 0.000 0.000
Tc: 0.000 0.000 0.500
Ru: 0.500 0.500 0.267
Ru: 0.500 0.500 0.733

Properties
Total magnetic moment, μB/f.u.: 0.5
Energy, eV/atom: -7.04
E_form, eV per atom: 0.421

=====

No. 8
Material: KSnRu2
Method: DFT, PBE
State: optimized geometry

abc: 10.091 10.091 10.091
angles: 153.50 153.50 37.83
Sites, in units of the cell vectors:
K: 0.000 0.000 0.000
K: 0.750 0.250 0.500
Sn: 0.250 0.750 0.500
Sn: 0.500 0.500 0.000
Ru: 0.282 0.625 0.157
Ru: 0.375 0.532 0.657
Ru: 0.468 0.125 0.843
Ru: 0.875 0.718 0.343

Properties
Total magnetic moment, μB/f.u.: 0.0
Energy, eV/atom: -5.05
E_form, eV per atom: 0.862

=====

No. 9
Material: VSbTe2Cl
Method: DFT, PBE
State: optimized geometry

abc: 5.422 5.422 5.079
angles: 90.00 90.00 90.00
Sites, in units of the cell vectors:
V: 0.000 0.000 0.000
Sb: 0.500 0.500 0.000
Te: 0.000 0.500 0.500
Te: 0.500 0.000 0.500
Cl: 0.500 0.500 0.500

Properties
Total magnetic moment, μB/f.u.: 0.1
Energy, eV/atom: -3.04
Raw formation energy, meV per atom: 1235.7
Distance to the lowest polymorph of the same formula, eV/atom: 1.193

=====

No. 10
Material: PuTa3Tl2O12
Method: DFT, PBE
State: optimized geometry

abc: 7.621 7.621 7.621
angles: 58.55 58.55 58.55
Sites, in units of the cell vectors:
Pu: 0.000 0.000 0.000
Ta: 0.000 0.000 0.500
Ta: 0.000 0.500 0.000
Ta: 0.500 0.000 0.000
Tl: 0.403 0.403 0.403
Tl: 0.597 0.597 0.597
O: 0.064 0.064 0.685
O: 0.064 0.685 0.064
O: 0.067 0.688 0.688
O: 0.312 0.312 0.933
O: 0.312 0.933 0.312
O: 0.315 0.936 0.936
O: 0.685 0.064 0.064
O: 0.688 0.067 0.688
O: 0.688 0.688 0.067
O: 0.933 0.312 0.312
O: 0.936 0.315 0.936
O: 0.936 0.936 0.315

Properties
Total magnetic moment, μB/f.u.: 0.9
Energy, eV/atom: -8.71
Raw formation energy, meV per atom: -2371.5

=====

No. 11
Material: RbAl2S
Method: DFT, PBE
State: optimized geometry

abc: 6.691 6.691 6.691
angles: 103.07 103.07 123.22
Sites, in units of the cell vectors:
Rb: 0.000 0.000 0.000
Rb: 0.750 0.250 0.500
Al: 0.196 0.625 0.071
Al: 0.375 0.446 0.571
Al: 0.554 0.125 0.929
Al: 0.875 0.804 0.429
S: 0.250 0.750 0.500
S: 0.500 0.500 0.000

Properties
Total magnetic moment, μB/f.u.: 0.0
Energy, eV/atom: -3.11
Raw formation energy, meV per atom: 34.3
Distance to the lowest polymorph of the same formula, eV/atom: 0.000

=====

No. 12
Material: YHoGaRu
Method: DFT, PBE
State: optimized geometry

abc: 4.301 5.710 5.710
angles: 39.72 90.00 90.00
Sites, in units of the cell vectors:
Y: 0.000 0.000 0.000
Ho: 0.500 0.714 0.714
Ga: 0.500 0.422 0.422
Ru: 0.000 0.285 0.285

Properties
Total magnetic moment, μB/f.u.: 0.0
Energy, eV/atom: -6.33
Distance to the lowest polymorph of the same formula, eV/atom: 0.000
E_form, eV per atom: -0.496

=====

Number 4 is which compound? CeNdSn6

=====

What did the eleventh record say?
Material: RbAl2S
Method: DFT, PBE
State: optimized geometry

abc: 6.691 6.691 6.691
angles: 103.07 103.07 123.22
Sites, in units of the cell vectors:
Rb: 0.000 0.000 0.000
Rb: 0.750 0.250 0.500
Al: 0.196 0.625 0.071
Al: 0.375 0.446 0.571
Al: 0.554 0.125 0.929
Al: 0.875 0.804 0.429
S: 0.250 0.750 0.500
S: 0.500 0.500 0.000

Properties
Total magnetic moment, μB/f.u.: 0.0
Energy, eV/atom: -3.11
Raw formation energy, meV per atom: 34.3
Distance to the lowest polymorph of the same formula, eV/atom: 0.000

=====

energy of number 4 (CeNdSn6)? -4.86 eV/atom

=====

Number 1 is which compound? Er5Zr3H12